An optimized crystal structure of Ba2Tc, computed with PBE.

Summary:
E above lowest polymorph ... 0.0 kJ per mole of atoms
Spin magnetization ... 0.000 μB/atom
Formation energy from the elements ... 0.34 eV per atom
E_tot ... -4.40 eV/atom

```
data_Ba2Tc
_chemical_formula_sum 'Ba8 Tc4'
_symmetry_space_group_name_H-M 'C 1 2/m 1'
_symmetry_Int_Tables_number 12
_cell_length_a 17.539
_cell_length_b 4.262
_cell_length_c 7.220
_cell_angle_alpha 90.00
_cell_angle_beta 100.69
_cell_angle_gamma 90.00
loop_
_symmetry_equiv_pos_as_xyz
'x,y,z'
'-x,-y,-z'
'-x,y,-z'
'x,-y,z'
'x+1/2,y+1/2,z'
'-x+1/2,-y+1/2,-z'
'-x+1/2,y+1/2,-z'
'x+1/2,-y+1/2,z'
loop_
_atom_site_label
_atom_site_type_symbol
_atom_site_fract_x
_atom_site_fract_y
_atom_site_fract_z
Ba1 Ba 0.090 0.000 0.290
Ba2 Ba 0.162 0.500 0.811
Tc1 Tc 0.250 0.000 0.576
```